AlCd2W: optimized geometry, GGA-PBE.

## Properties
N(E_F)	1.83	states/eV/cell
SG	No. 160
crystal system	trigonal

Cell lengths 9.8293, 9.8293, 9.8293 Å; angles 17.36, 17.36, 17.36 degrees
Last column: nearest neighbours and their distance in Å.
Positions (direct):
Al: 0.0000 0.0000 0.0000  3 W 2.72, 6 Al 2.97, 3 Cd 2.99
Cd: 0.2489 0.2489 0.2489  9 Cd 2.97-3.16, 3 Al 2.99
Cd: 0.4910 0.4910 0.4910  9 Cd 2.97-3.16, 3 W 3.00
W: 0.7396 0.7396 0.7396  3 Al 2.72, 6 W 2.97, 3 Cd 3.00

=====

AlCd2W: optimized geometry, GGA-PBE.

## Properties
N(E_F)	2.01	states/eV/cell
SG	No. 6
crystal system	monoclinic

Cell lengths 2.8180, 4.4161, 6.0715 Å; angles 90.00, 103.16, 90.00 degrees
Last column: nearest neighbours and their distance in Å.
Positions (direct):
Al: 0.0000 0.0000 0.0000  3 Cd 2.65-2.89, 4 W 2.76, 2 Al 2.82
Cd: 0.1551 0.5000 0.3143  6 Cd 2.82-2.97, 2 Al 2.89, 2 W 3.07
Cd: 0.7751 0.0000 0.5510  1 Al 2.65, 4 Cd 2.82-2.96
W: 0.4275 0.5000 0.8527  4 Al 2.76, 2 W 2.82, 2 Cd 3.07

=====

AlCd2W: optimized geometry, GGA-PBE.

## Properties
N(E_F)	2.49	states/eV/cell
SG	No. 44
crystal system	orthorhombic

Cell lengths 5.7510, 5.7510, 5.7510 Å; angles 150.18, 127.86, 61.23 degrees
Last column: nearest neighbours and their distance in Å.
Positions (direct):
Al: 0.0000 0.0000 0.0000  2 W 2.64, 6 Cd 2.94
Cd: 0.2564 0.7564 0.5000  4 W 2.94, 2 Al 2.94, 4 Cd 2.96-3.02
Cd: 0.5225 0.5225 0.0000  4 Al 2.94, 2 W 2.94, 4 Cd 2.96-3.02
W: 0.7789 0.2789 0.5000  2 Al 2.64, 6 Cd 2.94

=====

AlCd2W: optimized geometry, GGA-PBE.

## Properties
N(E_F)	2.18	states/eV/cell
SG	No. 166
crystal system	trigonal

Cell lengths 9.7683, 9.7683, 9.7683 Å; angles 17.55, 17.55, 17.55 degrees
Last column: nearest neighbours and their distance in Å.
Positions (direct):
Al: 0.0000 0.0000 0.0000  6 Cd 2.95, 6 Al 2.98
Cd: 0.2503 0.2503 0.2503  3 Al 2.95, 3 W 2.96, 6 Cd 2.98
Cd: 0.7497 0.7497 0.7497  3 Al 2.95, 3 W 2.96, 6 Cd 2.98
W: 0.5000 0.5000 0.5000  6 Cd 2.96, 6 W 2.98

=====

AlCd2W: optimized geometry, GGA-PBE.

## Properties
N(E_F)	4.25	states/eV/cell
SG	No. 119
crystal system	tetragonal

Cell lengths 5.2877, 5.2877, 5.2877 Å; angles 135.13, 135.13, 65.33 degrees
Last column: nearest neighbours and their distance in Å.
Positions (direct):
Al: 0.0000 0.0000 0.0000  8 Cd 2.85-3.00, 4 W 3.00
Cd: 0.2500 0.7500 0.5000  4 W 2.85, 4 Cd 3.00, 4 Al 3.00
Cd: 0.5000 0.5000 0.0000  4 Al 2.85, 4 Cd 3.00, 4 W 3.00
W: 0.7500 0.2500 0.5000  8 Cd 2.85-3.00, 4 Al 3.00

=====

AlCd2W: optimized geometry, GGA-PBE.

## Properties
N(E_F)	2.54	states/eV/cell
SG	No. 139
crystal system	tetragonal

Cell lengths 5.5126, 5.5126, 5.5126 Å; angles 138.76, 138.76, 59.75 degrees
Last column: nearest neighbours and their distance in Å.
Positions (direct):
Al: 0.0000 0.0000 0.0000  4 W 2.75
Cd: 0.2500 0.7500 0.5000  4 Cd 2.75
Cd: 0.7500 0.2500 0.5000  4 Cd 2.75
W: 0.5000 0.5000 0.0000  4 Al 2.75

=====

AlCd2W: optimized geometry, GGA-PBE.

## Properties
N(E_F)	2.86	states/eV/cell
SG	No. 35
crystal system	orthorhombic

Cell lengths 2.8521, 2.8521, 9.4506 Å; angles 90.00, 90.00, 104.49 degrees
Last column: nearest neighbours and their distance in Å.
Positions (direct):
Al: 0.0000 0.0000 0.0000  2 W 2.64, 4 Al 2.85
Cd: 0.0000 0.0000 0.4597  4 Cd 2.85, 2 W 2.95
Cd: 0.5000 0.5000 0.7433  4 Cd 2.85, 2 Al 2.99
W: 0.5000 0.5000 0.2088  2 Al 2.64, 4 W 2.85, 2 Cd 2.95

=====

AlCd2W: optimized geometry, GGA-PBE.

## Properties
N(E_F)	3.22	states/eV/cell
SG	No. 99
crystal system	tetragonal

Cell lengths 2.8511, 2.8511, 9.1433 Å; angles 90.00, 90.00, 90.00 degrees
Last column: nearest neighbours and their distance in Å.
Positions (direct):
Al: 0.0000 0.0000 0.0000  4 W 2.79, 4 Al 2.85, 4 Cd 3.10
Cd: 0.0000 0.0000 0.5387  4 Cd 2.85, 4 W 3.05
Cd: 0.5000 0.5000 0.2578  4 Cd 2.85, 4 Al 3.10
W: 0.5000 0.5000 0.7889  4 Al 2.79, 4 W 2.85, 4 Cd 3.05

=====

AlCd2W: optimized geometry, GGA-PBE.

## Properties
N(E_F)	7.28	states/eV/cell
SG	No. 122
crystal system	tetragonal

Cell lengths 6.0046, 6.0046, 6.0046 Å; angles 101.84, 101.84, 126.12 degrees
Last column: nearest neighbours and their distance in Å.
Positions (direct):
Al: 0.0000 0.0000 0.0000  4 Cd 2.68, 2 W 2.72
Al: 0.7500 0.2500 0.5000  4 Cd 2.68, 2 W 2.72
Cd: 0.1090 0.6250 0.9840  2 Al 2.68, 2 Cd 2.73, 2 W 2.85
Cd: 0.3750 0.3590 0.4840  2 Al 2.68, 2 Cd 2.73, 2 W 2.85
Cd: 0.6410 0.1250 0.0160  2 Al 2.68, 2 Cd 2.73, 2 W 2.85
Cd: 0.8750 0.8910 0.5160  2 Al 2.68, 2 Cd 2.73, 2 W 2.85
W: 0.2500 0.7500 0.5000  2 Al 2.72, 4 Cd 2.85
W: 0.5000 0.5000 0.0000  2 Al 2.72, 4 Cd 2.85

=====

AlCd2W: optimized geometry, GGA-PBE.

## Properties
N(E_F)	1.76	states/eV/cell
SG	No. 10
crystal system	monoclinic

Cell lengths 4.9938, 2.8937, 5.3108 Å; angles 90.00, 110.25, 90.00 degrees
Last column: nearest neighbours and their distance in Å.
Positions (direct):
Al: 0.0000 0.0000 0.0000  4 W 2.89, 2 Al 2.89, 6 Cd 2.95-3.02
Cd: 0.0000 0.5000 0.5000  6 Cd 2.89, 2 W 2.95, 4 Al 3.02
Cd: 0.5000 0.0000 0.5000  6 Cd 2.89, 2 Al 2.95, 4 W 3.02
W: 0.5000 0.5000 0.0000  4 Al 2.89, 2 W 2.89, 6 Cd 2.95-3.02

=====

AlCd2W: optimized geometry, GGA-PBE.

## Properties
N(E_F)	2.96	states/eV/cell
SG	No. 25
crystal system	orthorhombic

Cell lengths 2.8814, 4.1375, 6.2029 Å; angles 90.00, 90.00, 90.00 degrees
Last column: nearest neighbours and their distance in Å.
Positions (direct):
Al: 0.0000 0.0000 0.0000  4 W 2.74, 1 Cd 2.76, 2 Al 2.88
Cd: 0.0000 0.0000 0.5547  1 Al 2.76, 6 Cd 2.88-2.98, 4 W 3.03
Cd: 0.5000 0.5000 0.2982  6 Cd 2.88-2.98, 1 W 2.93, 4 Al 3.13
W: 0.5000 0.5000 0.8260  4 Al 2.74, 2 W 2.88, 5 Cd 2.93-3.03

=====

YAlCd2: optimized geometry, GGA-PBE.

## Properties
N(E_F)	1.82	states/eV/cell
SG	No. 99
crystal system	tetragonal

Cell lengths 3.3844, 3.3844, 7.9393 Å; angles 90.00, 90.00, 90.00 degrees
Last column: nearest neighbours and their distance in Å.
Positions (direct):
Y: 0.0000 0.0000 0.0000  4 Al 3.12, 4 Cd 3.29, 4 Y 3.38
Al: 0.5000 0.5000 0.2524  4 Cd 2.95, 4 Y 3.12
Cd: 0.0000 0.0000 0.4692  4 Al 2.95, 4 Cd 3.09
Cd: 0.5000 0.5000 0.7159  8 Cd 3.09-3.38, 4 Y 3.29

=====

Y2AlCd: optimized geometry, GGA-PBE.

## Properties
N(E_F)	3.39	states/eV/cell
SG	No. 123
crystal system	tetragonal

Cell lengths 5.2354, 5.2354, 3.6483 Å; angles 90.00, 90.00, 90.00 degrees
Last column: nearest neighbours and their distance in Å.
Positions (direct):
Y: 0.0000 0.5000 0.0000  4 Cd 3.19, 4 Al 3.19
Y: 0.5000 0.0000 0.0000  4 Cd 3.19, 4 Al 3.19
Al: 0.0000 0.0000 0.5000  8 Y 3.19
Cd: 0.5000 0.5000 0.5000  8 Y 3.19

=====

Y3AlCd2: optimized geometry, GGA-PBE.

## Properties
N(E_F)	6.02	states/eV/cell
energy above the lowest structure with this stoichiometry	0.000	eV per atom
SG	No. 123
crystal system	tetragonal

Cell lengths 3.6817, 3.6817, 11.2572 Å; angles 90.00, 90.00, 90.00 degrees
Last column: nearest neighbours and their distance in Å.
Positions (direct):
Y: 0.0000 0.0000 0.0000  8 Cd 3.23
Y: 0.0000 0.0000 0.3422  4 Al 3.15, 4 Cd 3.25
Y: 0.0000 0.0000 0.6578  4 Al 3.15, 4 Cd 3.25
Al: 0.5000 0.5000 0.5000  8 Y 3.15
Cd: 0.5000 0.5000 0.1698  8 Y 3.23-3.25
Cd: 0.5000 0.5000 0.8302  8 Y 3.23-3.25

=====

Y4Al12Cd: optimized geometry, GGA-PBE.

## Properties
N(E_F)	6.94	states/eV/cell
SG	No. 229
crystal system	cubic

Cell lengths 7.6082, 7.6082, 7.6082 Å; angles 109.47, 109.47, 109.47 degrees
Last column: nearest neighbours and their distance in Å.
Positions (direct):
Y: 0.0000 0.0000 0.5000  12 Al 3.11-3.16
Y: 0.0000 0.5000 0.0000  12 Al 3.11-3.16
Y: 0.5000 0.0000 0.0000  12 Al 3.11-3.16
Y: 0.5000 0.5000 0.5000  12 Al 3.11-3.16
Al: 0.0000 0.3137 0.3137  4 Al 2.74, 1 Cd 2.76
Al: 0.0000 0.6863 0.6863  4 Al 2.74, 1 Cd 2.76
Al: 0.2500 0.5000 0.7500  4 Al 2.74
Al: 0.2500 0.7500 0.5000  4 Al 2.74
Al: 0.3137 0.0000 0.3137  4 Al 2.74, 1 Cd 2.76
Al: 0.3137 0.3137 0.0000  4 Al 2.74, 1 Cd 2.76
Al: 0.5000 0.2500 0.7500  4 Al 2.74
Al: 0.5000 0.7500 0.2500  4 Al 2.74
Al: 0.6863 0.0000 0.6863  4 Al 2.74, 1 Cd 2.76
Al: 0.6863 0.6863 0.0000  4 Al 2.74, 1 Cd 2.76
Al: 0.7500 0.2500 0.5000  4 Al 2.74
Al: 0.7500 0.5000 0.2500  4 Al 2.74
Cd: 0.0000 0.0000 0.0000  6 Al 2.76

=====

YAl2Cd: optimized geometry, GGA-PBE.

## Properties
N(E_F)	1.76	states/eV/cell
SG	No. 8
crystal system	monoclinic

Cell lengths 5.2818, 5.2818, 5.3669 Å; angles 103.14, 103.14, 37.38 degrees
Last column: nearest neighbours and their distance in Å.
Positions (direct):
Y: 0.0000 0.0000 0.0000  7 Al 3.09-3.22, 3 Cd 3.13-3.25, 2 Y 3.39
Al: 0.4847 0.4847 0.4827  2 Al 2.86, 3 Cd 2.99-3.02, 2 Y 3.13
Al: 0.7570 0.7570 0.2633  2 Al 2.86, 2 Cd 2.94, 3 Y 3.09-3.12
Cd: 0.2323 0.2323 0.6985  5 Al 2.94-3.02, 3 Y 3.13-3.25

=====

YAl2Cd: optimized geometry, GGA-PBE.

## Properties
N(E_F)	3.82	states/eV/cell
SG	No. 122
crystal system	tetragonal

Cell lengths 10.0910, 10.0910, 10.0910 Å; angles 153.79, 153.79, 37.41 degrees
Last column: nearest neighbours and their distance in Å.
Positions (direct):
Y: 0.0000 0.0000 0.0000  4 Al 3.09, 4 Cd 3.24
Y: 0.7500 0.2500 0.5000  4 Al 3.09, 4 Cd 3.24
Al: 0.2212 0.6250 0.0962  2 Al 2.69, 2 Cd 2.74
Al: 0.3750 0.4712 0.5962  2 Al 2.69, 2 Cd 2.74
Al: 0.5288 0.1250 0.9038  2 Al 2.69, 2 Cd 2.74
Al: 0.8750 0.7788 0.4038  2 Al 2.69, 2 Cd 2.74
Cd: 0.2500 0.7500 0.5000  4 Al 2.74
Cd: 0.5000 0.5000 0.0000  4 Al 2.74

=====

Y2AlCd: optimized geometry, GGA-PBE.

## Properties
N(E_F)	3.17	states/eV/cell
SG	No. 225
crystal system	cubic

Cell lengths 5.2107, 5.2107, 5.2107 Å; angles 60.00, 60.00, 60.00 degrees
Last column: nearest neighbours and their distance in Å.
Positions (direct):
Y: 0.2500 0.2500 0.2500  4 Cd 3.19, 4 Al 3.19
Y: 0.7500 0.7500 0.7500  4 Al 3.19, 4 Cd 3.19
Al: 0.0000 0.0000 0.0000  8 Y 3.19
Cd: 0.5000 0.5000 0.5000  8 Y 3.19

=====

Y2AlCd: optimized geometry, GGA-PBE.

## Properties
N(E_F)	2.58	states/eV/cell
SG	No. 166
crystal system	trigonal

Cell lengths 9.6039, 9.6039, 9.6039 Å; angles 21.93, 21.93, 21.93 degrees
Last column: nearest neighbours and their distance in Å.
Positions (direct):
Y: 0.2454 0.2454 0.2454  3 Al 3.06, 3 Cd 3.25
Y: 0.7546 0.7546 0.7546  3 Al 3.06, 3 Cd 3.25
Al: 0.5000 0.5000 0.5000  6 Y 3.06
Cd: 0.0000 0.0000 0.0000  6 Y 3.25

=====

Y3AlCd3: optimized geometry, GGA-PBE.

## Properties
N(E_F)	5.56	states/eV/cell
SG	No. 44
crystal system	orthorhombic

Cell lengths 10.6383, 10.6383, 10.6383 Å; angles 160.45, 153.91, 32.81 degrees
Last column: nearest neighbours and their distance in Å.
Positions (direct):
Y: 0.0000 0.0000 0.0000  7 Cd 3.21-3.27
Y: 0.3945 0.3945 0.0000  2 Al 3.18, 5 Cd 3.20-3.28
Y: 0.7027 0.2027 0.5000  4 Al 3.27, 8 Cd 3.32-3.51, 2 Y 3.61
Al: 0.2665 0.7665 0.5000  3 Cd 2.71-2.84
Cd: 0.1336 0.6336 0.5000  1 Al 2.71, 2 Cd 2.89
Cd: 0.5552 0.5552 0.0000  2 Cd 2.89, 4 Y 3.21
Cd: 0.8404 0.8404 0.0000  2 Al 2.84

=====

Going through the records in order, we get DFT formation energy values of 274.2 339.7 469.2 426.7 529.3 435.5 298.9 313.4 841.0 341.2 377.2 -157.7 -385.6 -375.3 -373.1 -137.5 105.2 -389.0 -190.3 -330.3 meV/atom.